Entry 1:
Computed, not measured: a relaxed LaDyTc crystal at the GGA-PBE level of DFT.

Cell lengths 3.5008, 3.5008, 13.2322 Å; angles 90.00, 90.00, 90.00 degrees
Last column: nearest neighbours and their distance in Å.
Space group I4mm (No. 107)
Unique sites:
1 La 0.0000 0.0000 0.0000 [2 per cell]  4 Tc 3.03, 1 Dy 3.35
2 Dy 0.0000 0.0000 0.7466 [2 per cell]  4 Tc 2.95
3 Tc 0.0000 0.0000 0.3682 [2 per cell]  4 Dy 2.95, 4 La 3.03

Properties
excess energy over the best structure of this formula in the dataset: 35 meV per atom
calculated formation energy: 0.032 eV per atom
E: -6.600 eV/atom
total magnetic moment: 0.000 μB/f.u.
calculated volume: 162.2 Å³ per cell

Entry 2:
Computed, not measured: a relaxed Ti4H3 crystal at the GGA-PBE level of DFT.

Cell lengths 11.0034, 2.8405, 5.3168 Å; angles 90.00, 118.87, 90.00 degrees
Last column: nearest neighbours and their distance in Å.
Space group C2/m (No. 12)
Unique sites:
1 Ti 0.1197 0.0000 0.4888 [4 per cell]  2 H 2.01
2 Ti 0.1255 0.5000 0.9765 [4 per cell]  5 H 2.03-2.25
3 H 0.0000 0.0000 0.0000 [2 per cell]  4 Ti 2.03
4 H 0.2496 0.0000 0.2555 [4 per cell]  5 Ti 2.01-2.25

Properties
excess energy over the best structure of this formula in the dataset: 39 meV per atom
E: -6.195 eV/atom
total magnetic moment: 0.000 μB/f.u.
calculated volume: 145.5 Å³ per cell

Entry 3:
Computed, not measured: a relaxed Ce4GaI5 crystal at the GGA-PBE level of DFT.

Cell lengths 19.3170, 4.3243, 9.1157 Å; angles 90.00, 101.65, 90.00 degrees
Last column: nearest neighbours and their distance in Å.
Space group C2/m (No. 12)
Unique sites:
1 Ce 0.0004 0.0000 0.2226 [4 per cell]  2 Ga 2.96, 2 I 3.20-3.25
2 Ce 0.1569 0.5000 0.0700 [4 per cell]  1 Ga 2.97, 5 I 3.22-3.29
3 Ga 0.0000 0.5000 0.0000 [2 per cell]  6 Ce 2.96-2.97
4 I 0.0000 0.5000 0.5000 [2 per cell]  4 Ce 3.33
5 I 0.1686 0.0000 0.3359 [4 per cell]  3 Ce 3.20-3.22
6 I 0.1703 0.0000 0.8117 [4 per cell]  4 Ce 3.25-3.29

Properties
uncorrected formation energy: -1.017 eV per atom
E: -4.468 eV/atom
total magnetic moment: 4.869 μB/f.u.
calculated volume: 745.8 Å³ per cell

Entry 4:
Computed, not measured: a relaxed NpGa6Ni12 crystal at the GGA-PBE level of DFT.

Cell lengths 10.6216, 10.6216, 7.9607 Å; angles 90.00, 90.00, 120.00 degrees
Last column: nearest neighbours and their distance in Å.
Space group R-3m (No. 166, hexagonal axes)
Unique sites:
1 Np 0.0000 0.0000 0.0000 [3 per cell]  6 Ni 2.77
2 Ga 0.0513 0.5256 0.2461 [18 per cell]  8 Ni 2.34-2.59
3 Ni 0.0000 0.3850 0.5000 [18 per cell]  4 Ga 2.34-2.41, 3 Ni 2.44-2.51
4 Ni 0.0826 0.1652 0.2912 [18 per cell]  4 Ga 2.48-2.59, 4 Ni 2.51-2.63, 1 Np 2.77

Properties
calculated formation energy: -0.139 eV per atom
E: -5.427 eV/atom
total magnetic moment: 3.334 μB/f.u.
calculated volume: 777.8 Å³ per cell

Entry 5:
Computed, not measured: a relaxed LiTl crystal at the GGA-PBE level of DFT.

Cell lengths 10.2890, 3.6795, 4.8375 Å; angles 90.00, 106.75, 90.00 degrees
Last column: nearest neighbours and their distance in Å.
Space group C2/m (No. 12)
Unique sites:
1 Li 0.1236 0.0000 0.3396 [4 per cell]  7 Tl 2.98-3.07, 2 Li 3.20
2 Tl 0.1204 0.5000 0.8302 [4 per cell]  7 Li 2.98-3.07, 2 Tl 3.27

Properties
calculated formation energy: -0.188 eV per atom
E: -2.328 eV/atom
total magnetic moment: 0.000 μB/f.u.
calculated volume: 175.4 Å³ per cell

Entry 6:
Computed, not measured: a relaxed PRhSeS2 crystal at the GGA-PBE level of DFT.

Cell lengths 4.7080, 4.7080, 4.4670 Å; angles 90.00, 90.00, 90.00 degrees
Last column: nearest neighbours and their distance in Å.
Space group P4/mmm (No. 123)
Unique sites:
1 P 0.0000 0.0000 0.0000 [1 per cell]  2 Rh 2.23
2 Rh 0.0000 0.0000 0.5000 [1 per cell]  2 P 2.23, 4 S 2.35
3 Se 0.5000 0.5000 0.0000 [1 per cell]  8 S 3.24, 4 P 3.33
4 S 0.0000 0.5000 0.5000 [2 per cell]  2 Rh 2.35

Properties
excess energy over the best structure of this formula in the dataset: 0 meV per atom
uncorrected formation energy: 0.632 eV per atom
E: -4.268 eV/atom
total magnetic moment: 0.000 μB/f.u.
calculated volume: 99.0 Å³ per cell

Entry 7:
Computed, not measured: a relaxed BaLiTlPb crystal at the GGA-PBE level of DFT.

Cell lengths 8.0111, 8.0111, 8.0111 Å; angles 90.00, 90.00, 90.00 degrees
Last column: nearest neighbours and their distance in Å.
Space group F-43m (No. 216)
Unique sites:
1 Ba 0.0000 0.0000 0.0000 [4 per cell]  4 Tl 3.47, 4 Pb 3.47
2 Li 0.0000 0.0000 0.5000 [4 per cell]  4 Pb 3.47, 4 Tl 3.47
3 Tl 0.2500 0.2500 0.7500 [4 per cell]  4 Ba 3.47, 4 Li 3.47
4 Pb 0.2500 0.2500 0.2500 [4 per cell]  4 Ba 3.47, 4 Li 3.47

Properties
excess energy over the best structure of this formula in the dataset: 96 meV per atom
calculated formation energy: -0.326 eV per atom
E: -2.803 eV/atom
total magnetic moment: 0.000 μB/f.u.
calculated volume: 514.1 Å³ per cell

Entry 8:
Computed, not measured: a relaxed PmBN3 crystal at the GGA-PBE level of DFT.

Cell lengths 5.4847, 5.4847, 6.7518 Å; angles 90.00, 90.00, 120.00 degrees
Last column: nearest neighbours and their distance in Å.
Space group R3m (No. 160, hexagonal axes)
Unique sites:
1 Pm 0.0000 0.0000 0.0000 [3 per cell]  3 N 2.40
2 B 0.0000 0.0000 0.4258 [3 per cell]  3 N 1.44
3 N 0.0308 0.5154 0.0877 [9 per cell]  1 B 1.44

Properties
uncorrected formation energy: -0.073 eV per atom
E: -7.353 eV/atom
total magnetic moment: 1.609 μB/f.u.
calculated volume: 175.9 Å³ per cell

Entry 9:
Computed, not measured: a relaxed FePSe crystal at the GGA-PBE level of DFT.

Cell lengths 3.4707, 3.4707, 5.2904 Å; angles 90.00, 90.00, 120.00 degrees
Last column: nearest neighbours and their distance in Å.
Space group P3m1 (No. 156)
Unique sites:
1 Fe 0.0000 0.0000 0.0000 [1 per cell]  3 P 2.15
2 P 0.6667 0.3333 0.1488 [1 per cell]  3 Fe 2.15
3 Se 0.3333 0.6667 0.7256 [1 per cell]  3 Fe 2.47

Properties
uncorrected formation energy: -0.032 eV per atom
E: -5.818 eV/atom
total magnetic moment: 0.188 μB/f.u.
calculated volume: 55.2 Å³ per cell

Entry 10:
Computed, not measured: a relaxed PmMgIn3 crystal at the GGA-PBE level of DFT.

Cell lengths 4.6060, 7.3811, 7.8338 Å; angles 90.00, 90.00, 90.00 degrees
Last column: nearest neighbours and their distance in Å.
Space group Pmmn (No. 59, origin choice 2)
Unique sites:
1 Pm 0.2500 0.2500 0.1858 [2 per cell]  6 In 3.18-3.28, 2 Mg 3.53
2 Mg 0.2500 0.7500 0.4734 [2 per cell]  7 In 2.92-3.12
3 In 0.2500 0.0493 0.7179 [4 per cell]  3 Mg 2.92-3.12, 3 In 2.96-3.11
4 In 0.2500 0.7500 0.0941 [2 per cell]  1 Mg 2.97, 4 In 3.11, 2 Pm 3.18

Properties
excess energy over the best structure of this formula in the dataset: 47 meV per atom
calculated formation energy: -0.237 eV per atom
E: -3.149 eV/atom
total magnetic moment: 0.000 μB/f.u.
calculated volume: 266.3 Å³ per cell

Entry 11:
Computed, not measured: a relaxed NaCaMgAlSi4O12 crystal at the GGA-PBE level of DFT.

Cell lengths 9.7021, 8.8418, 5.3207 Å; angles 90.00, 107.44, 90.00 degrees
Last column: nearest neighbours and their distance in Å.
Space group C2 (No. 5)
Unique sites:
1 Na 0.0000 0.0000 0.0000 [2 per cell]  6 O 2.40-2.49
2 Ca 0.0000 0.5995 0.5000 [2 per cell]  6 O 2.37-2.50
3 Mg 0.0000 0.3879 0.0000 [2 per cell]  6 O 2.04-2.12
4 Al 0.0000 0.1992 0.5000 [2 per cell]  6 O 1.90-2.08
5 Si 0.2101 0.8925 0.5164 [4 per cell]  4 O 1.61-1.68
6 Si 0.2140 0.7065 0.0283 [4 per cell]  4 O 1.60-1.69
7 O 0.1098 0.2154 0.8612 [4 per cell]  1 Si 1.63
8 O 0.1137 0.3779 0.4035 [4 per cell]  1 Si 1.64
9 O 0.1358 0.0564 0.4462 [4 per cell]  1 Si 1.61
10 O 0.1402 0.5453 0.9389 [4 per cell]  1 Si 1.60
11 O 0.1431 0.7843 0.2482 [4 per cell]  2 Si 1.67-1.68
12 O 0.1546 0.8090 0.7492 [4 per cell]  2 Si 1.66-1.69

Properties
uncorrected formation energy: -2.832 eV per atom
E: -7.325 eV/atom
total magnetic moment: 0.000 μB/f.u.
calculated volume: 435.4 Å³ per cell

Entry 12:
Computed, not measured: a relaxed KNbN2F crystal at the GGA-PBE level of DFT.

Cell lengths 4.2275, 4.2275, 4.1940 Å; angles 90.00, 90.00, 90.00 degrees
Last column: nearest neighbours and their distance in Å.
Space group P4/mmm (No. 123)
Unique sites:
1 K 0.0000 0.0000 0.0000 [1 per cell]  2 F 2.10, 4 N 2.11
2 Nb 0.5000 0.5000 0.5000 [1 per cell]  8 N 2.98, 4 F 2.99
3 N 0.0000 0.5000 0.0000 [2 per cell]  2 K 2.11
4 F 0.0000 0.0000 0.5000 [1 per cell]  2 K 2.10

Properties
excess energy over the best structure of this formula in the dataset: 2727 meV per atom
uncorrected formation energy: 1.775 eV per atom
E: -4.163 eV/atom
total magnetic moment: 1.013 μB/f.u.
calculated volume: 75.0 Å³ per cell

Q: Among the records above, which one has the highest calculated volume?
A: NpGa6Ni12

Q: Look up the total magnetic moment of the second one.
A: 0.000 μB/f.u.

Copy entry 9 word for word.
Computed, not measured: a relaxed FePSe crystal at the GGA-PBE level of DFT.

Cell lengths 3.4707, 3.4707, 5.2904 Å; angles 90.00, 90.00, 120.00 degrees
Last column: nearest neighbours and their distance in Å.
Space group P3m1 (No. 156)
Unique sites:
1 Fe 0.0000 0.0000 0.0000 [1 per cell]  3 P 2.15
2 P 0.6667 0.3333 0.1488 [1 per cell]  3 Fe 2.15
3 Se 0.3333 0.6667 0.7256 [1 per cell]  3 Fe 2.47

Properties
uncorrected formation energy: -0.032 eV per atom
E: -5.818 eV/atom
total magnetic moment: 0.188 μB/f.u.
calculated volume: 55.2 Å³ per cell